Compound: CaCr4Ir
Source: the Alexandria database
Functional: PBE
Structure: optimized geometry

a = 4.933 Å, b = 4.933 Å, c = 4.933 Å
α = 60.00°, β = 60.00°, γ = 60.00°
Fractional coordinates of all 6 atoms:
Ca  0.000  0.000  0.000
Cr  0.122  0.626  0.626
Cr  0.626  0.122  0.626
Cr  0.626  0.626  0.122
Cr  0.626  0.626  0.626
Ir  0.250  0.250  0.250

## Properties
Energy of formation from the pure elements ... 0.3694 eV per atom
DFT total energy ... -47.14 eV per cell
Symmetry ... F-43m, No. 216